Entry 1:
MgVAg3 | GGA-PBE | optimized geometry

For the total magnetization, the calculation gives 3.2 μB per formula unit. For the formation energy from the elements, the calculation gives 4.87 eV/f.u.

The structure belongs to space group Pm-3m (No. 221); the cell edges are 4.987, 4.987 and 4.987 Å and the angles 90.00°, 90.00° and 90.00°. The distinct sites, in fractional coordinates, are Mg at (0.000, 0.000, 0.000), V at (0.500, 0.500, 0.500) and Ag at (0.000, 0.500, 0.500).


Entry 2:
Mg3VAg | GGA-PBE | optimized geometry

For the total magnetization, the calculation gives 3.9 μB per formula unit. For the formation energy from the elements, the calculation gives 3.21 eV/f.u. For the energy above the most stable polymorph in this dataset, the calculation gives 0 meV/atom.

The structure belongs to space group Pm-3m (No. 221); the cell edges are 5.022, 5.022 and 5.022 Å and the angles 90.00°, 90.00° and 90.00°. The distinct sites, in fractional coordinates, are Mg at (0.000, 0.000, 0.500), V at (0.500, 0.500, 0.500) and Ag at (0.000, 0.000, 0.000).


Entry 3:
Mg2VAg | GGA-PBE | optimized geometry

For the total magnetization, the calculation gives 3.6 μB per formula unit. For the formation energy from the elements, the calculation gives 2.04 eV/f.u. For the energy above the most stable polymorph in this dataset, the calculation gives 283 meV/atom.

The structure belongs to space group I-42d (No. 122); the cell edges are 7.566, 7.566 and 5.792 Å and the angles 90.00°, 90.00° and 90.00°. The distinct sites, in fractional coordinates, are Mg at (0.227, 0.250, 0.125), V at (0.000, 0.000, 0.500) and Ag at (0.000, 0.000, 0.000).


Entry 4:
Mg2VAg | GGA-PBE | optimized geometry

For the total magnetization, the calculation gives 3.1 μB per formula unit. For the formation energy from the elements, the calculation gives 0.90 eV/f.u. For the energy above the most stable polymorph in this dataset, the calculation gives 0 meV/atom.

The structure belongs to space group Fm-3m (No. 225); the cell edges are 6.649, 6.649 and 6.649 Å and the angles 90.00°, 90.00° and 90.00°. The distinct sites, in fractional coordinates, are Mg at (0.250, 0.250, 0.250), V at (0.000, 0.000, 0.000) and Ag at (0.000, 0.000, 0.500).


Entry 5:
MgAgW2 | GGA-PBE | optimized geometry

For the total magnetization, the calculation gives 0.0 μB per formula unit. For the formation energy from the elements, the calculation gives 2.01 eV/f.u.

The structure belongs to space group P2/m (No. 10); the cell edges are 2.727, 4.854 and 5.240 Å and the angles 90.00°, 103.47° and 90.00°. The distinct sites, in fractional coordinates, are Mg at (0.000, 0.000, 0.000), Ag at (0.500, 0.000, 0.500) and W at (0.274, 0.500, 0.756).


Entry 6:
Mg2AgW | GGA-PBE | optimized geometry

For the total magnetization, the calculation gives 0.0 μB per formula unit. For the formation energy from the elements, the calculation gives 1.67 eV/f.u. For the energy above the most stable polymorph in this dataset, the calculation gives 245 meV/atom.

The structure belongs to space group P2/m (No. 10); the cell edges are 2.757, 4.573 and 5.750 Å and the angles 90.00°, 100.16° and 90.00°. The distinct sites, in fractional coordinates, are Mg at (0.186, 0.000, 0.241), Ag at (0.000, 0.500, 0.500) and W at (0.500, 0.500, 0.000).


Entry 7:
MgAgW2 | GGA-PBE | optimized geometry

For the total magnetization, the calculation gives 0.0 μB per formula unit. For the formation energy from the elements, the calculation gives 1.90 eV/f.u.

The structure belongs to space group P4/mmm (No. 123); the cell edges are 3.781, 3.781 and 4.691 Å and the angles 90.00°, 90.00° and 90.00°. The distinct sites, in fractional coordinates, are Mg at (0.000, 0.000, 0.000), Ag at (0.500, 0.500, 0.000) and W at (0.000, 0.500, 0.500).


Entry 8:
Mg2AgW | GGA-PBE | optimized geometry

For the total magnetization, the calculation gives 0.0 μB per formula unit. For the formation energy from the elements, the calculation gives 0.98 eV/f.u. For the energy above the most stable polymorph in this dataset, the calculation gives 74 meV/atom.

The structure belongs to space group R-3m (No. 166, hexagonal axes); the cell edges are 2.9301, 2.9301 and 28.8183 Å and the angles 90.00°, 90.00° and 120.00°. The distinct sites, in fractional coordinates, are Mg at (0.0000, 0.0000, 0.2493), Ag at (0.0000, 0.0000, 0.5000) and W at (0.0000, 0.0000, 0.0000).


Entry 9:
Mg2AgW | GGA-PBE | optimized geometry

For the total magnetization, the calculation gives 0.0 μB per formula unit. For the formation energy from the elements, the calculation gives 0.69 eV/f.u. For the energy above the most stable polymorph in this dataset, the calculation gives 0 meV/atom.

The structure belongs to space group Cmmm (No. 65); the cell edges are 3.731, 4.211 and 8.980 Å and the angles 90.00°, 90.00° and 90.00°. The distinct sites, in fractional coordinates, are Mg at (0.000, 0.000, 0.248), Ag at (0.000, 0.500, 0.500) and W at (0.000, 0.500, 0.000).


Entry 10:
Mg2AgW | GGA-PBE | optimized geometry

For the total magnetization, the calculation gives 0.0 μB per formula unit. For the formation energy from the elements, the calculation gives 1.82 eV/f.u. For the energy above the most stable polymorph in this dataset, the calculation gives 282 meV/atom.

The structure belongs to space group Imm2 (No. 44); the cell edges are 2.832, 4.988 and 10.321 Å and the angles 90.00°, 90.00° and 90.00°. The distinct sites, in fractional coordinates, are Mg at (0.000, 0.000, 0.000), Mg at (0.000, 0.500, 0.228), Ag at (0.000, 0.000, 0.490) and W at (0.000, 0.500, 0.750).


Entry 11:
MgAg4W | GGA-PBE | optimized geometry

For the total magnetization, the calculation gives 2.6 μB per formula unit. For the formation energy from the elements, the calculation gives 3.80 eV/f.u.

The structure belongs to space group F-43m (No. 216); the cell edges are 7.667, 7.667 and 7.667 Å and the angles 90.00°, 90.00° and 90.00°. The distinct sites, in fractional coordinates, are Mg at (0.000, 0.000, 0.000), Ag at (0.125, 0.125, 0.375) and W at (0.250, 0.250, 0.750).


Entry 12:
MgAgW2 | GGA-PBE | optimized geometry

For the total magnetization, the calculation gives 0.0 μB per formula unit. For the formation energy from the elements, the calculation gives 2.23 eV/f.u.

The structure belongs to space group Cmmm (No. 65); the cell edges are 3.314, 4.281 and 9.509 Å and the angles 90.00°, 90.00° and 90.00°. The distinct sites, in fractional coordinates, are Mg at (0.000, 0.000, 0.000), Ag at (0.000, 0.000, 0.500) and W at (0.000, 0.500, 0.250).


Entry 13:
MgAgW2 | GGA-PBE | optimized geometry

For the total magnetization, the calculation gives 0.0 μB per formula unit. For the formation energy from the elements, the calculation gives 2.18 eV/f.u.

The structure belongs to space group Pmmm (No. 47); the cell edges are 2.725, 4.630 and 5.334 Å and the angles 90.00°, 90.00° and 90.00°. The distinct sites, in fractional coordinates, are Mg at (0.000, 0.000, 0.000), Ag at (0.000, 0.000, 0.500) and W at (0.500, 0.500, 0.245).


Entry 14:
Mg2AgW | GGA-PBE | optimized geometry

For the total magnetization, the calculation gives 0.1 μB per formula unit. For the formation energy from the elements, the calculation gives 3.72 eV/f.u. For the energy above the most stable polymorph in this dataset, the calculation gives 757 meV/atom.

The structure belongs to space group I-42d (No. 122); the cell edges are 7.323, 7.323 and 5.696 Å and the angles 90.00°, 90.00° and 90.00°. The distinct sites, in fractional coordinates, are Mg at (0.231, 0.250, 0.125), Ag at (0.000, 0.000, 0.000) and W at (0.000, 0.000, 0.500).


Entry 15:
Mg2AgW | GGA-PBE | optimized geometry

For the total magnetization, the calculation gives 0.0 μB per formula unit. For the formation energy from the elements, the calculation gives 1.22 eV/f.u. For the energy above the most stable polymorph in this dataset, the calculation gives 132 meV/atom.

The structure belongs to space group P4mm (No. 99); the cell edges are 2.823, 2.823 and 9.119 Å and the angles 90.00°, 90.00° and 90.00°. The distinct sites, in fractional coordinates, are Mg at (0.000, 0.000, 0.000), Mg at (0.500, 0.500, 0.286), Ag at (0.500, 0.500, 0.764) and W at (0.000, 0.000, 0.523).


Entry 16:
MgAgW2 | GGA-PBE | optimized geometry

For the total magnetization, the calculation gives 0.0 μB per formula unit. For the formation energy from the elements, the calculation gives 1.60 eV/f.u.

The structure belongs to space group Pm (No. 6); the cell edges are 2.745, 4.284 and 5.909 Å and the angles 90.00°, 97.84° and 90.00°. The distinct sites, in fractional coordinates, are Mg at (0.000, 0.000, 0.000), Ag at (0.474, 0.500, 0.770), W at (0.511, 0.500, 0.275) and W at (0.893, 0.000, 0.481).


Entry 17:
Mg2AgW | GGA-PBE | optimized geometry

For the total magnetization, the calculation gives 0.0 μB per formula unit. For the formation energy from the elements, the calculation gives 0.70 eV/f.u. For the energy above the most stable polymorph in this dataset, the calculation gives 2 meV/atom.

The structure belongs to space group P4/mmm (No. 123); the cell edges are 2.814, 2.814 and 8.932 Å and the angles 90.00°, 90.00° and 90.00°. The distinct sites, in fractional coordinates, are Mg at (0.000, 0.000, 0.247), Ag at (0.500, 0.500, 0.500) and W at (0.500, 0.500, 0.000).


Entry 18:
Mg4AgW | GGA-PBE | optimized geometry

For the total magnetization, the calculation gives 2.4 μB per formula unit. For the formation energy from the elements, the calculation gives 4.18 eV/f.u.

The structure belongs to space group F-43m (No. 216); the cell edges are 7.784, 7.784 and 7.784 Å and the angles 90.00°, 90.00° and 90.00°. The distinct sites, in fractional coordinates, are Mg at (0.124, 0.124, 0.124), Ag at (0.000, 0.000, 0.500) and W at (0.250, 0.250, 0.750).


Entry 19:
Mg2AgW | GGA-PBE | optimized geometry

For the total magnetization, the calculation gives 0.0 μB per formula unit. For the formation energy from the elements, the calculation gives 1.70 eV/f.u. For the energy above the most stable polymorph in this dataset, the calculation gives 253 meV/atom.

The structure belongs to space group Cm (No. 8); the cell edges are 10.154, 2.770 and 5.227 Å and the angles 90.00°, 100.28° and 90.00°. The distinct sites, in fractional coordinates, are Mg at (0.000, 0.000, 0.000), Mg at (0.239, 0.000, 0.725), Ag at (0.496, 0.000, 0.476) and W at (0.250, 0.500, 0.228).


Entry 20:
MgAgW2 | GGA-PBE | optimized geometry

For the total magnetization, the calculation gives 0.0 μB per formula unit. For the formation energy from the elements, the calculation gives 1.07 eV/f.u.

The structure belongs to space group Cmm2 (No. 35); the cell edges are 3.222, 4.504 and 9.359 Å and the angles 90.00°, 90.00° and 90.00°. The distinct sites, in fractional coordinates, are Mg at (0.000, 0.000, 0.000), Ag at (0.000, 0.500, 0.251), W at (0.000, 0.000, 0.509) and W at (0.000, 0.500, 0.744).